{"formula": "Pm2CoF8", "functional": "GGA+U", "state": "relaxed", "lattice": [[4.533, 0.043, 1.200], [1.170, 5.806, 1.625], [0.029, 0.127, 6.140]], "species": ["F", "F", "F", "F", "F", "F", "F", "F", "Pm", "Pm", "Co"], "frac_coords": [[0.802, 0.420, 0.420], [0.233, 0.132, 0.132], [0.729, 0.335, 0.956], [0.271, 0.665, 0.044], [0.198, 0.580, 0.580], [0.729, 0.956, 0.335], [0.271, 0.044, 0.665], [0.767, 0.868, 0.868], [0.622, 0.676, 0.676], [0.378, 0.324, 0.324], [0.000, 0.000, 0.000]], "magnetic_moment_mub_per_atom": 0.273, "dft_energy_ev_per_atom": -6.237}